[1]
First-principles (PBE-GGA) data for SbIrSe3 after structural relaxation, as listed in Alexandria via LeMat-Bulk.

Unit cell a=4.917 b=4.917 c=4.917 alpha=90.00 beta=90.00 gamma=90.00
Space group Pm-3m (No. 221)
Asymmetric unit:
Sb1 0.000 0.000 0.000 [1 per cell]
Ir1 0.500 0.500 0.500 [1 per cell]
Se1 0.000 0.500 0.500 [3 per cell]

Output
Uncorrected formation energy, meV per atom: 419

[2]
First-principles (PBE-GGA) data for AgHg6I2 after structural relaxation, as listed in Alexandria via LeMat-Bulk.

Unit cell a=4.307 b=7.114 c=9.390 alpha=81.93 beta=89.80 gamma=88.89
Space group P-1 (No. 2)
Asymmetric unit:
Ag1 0.000 0.000 0.000 [1 per cell]
Hg1 0.003 0.218 0.455 [2 per cell]
Hg2 0.009 0.577 0.135 [2 per cell]
Hg3 0.497 0.354 0.654 [2 per cell]
I1 0.490 0.879 0.817 [2 per cell]

Output
Uncorrected formation energy, meV per atom: -83

Number 1: magnetization 0.00 μB/cell, DOS at the Fermi energy 8.2 states/eV per cell. Number 2: magnetization 0.00 μB/cell, DOS at the Fermi energy 1.3 states/eV per cell.